DFT (PBE) results for a relaxed structure of CaPIr3.

Cell and atoms, written as POSCAR:
```
CaPIr3
1.0
-2.381 3.477 -1.511
-3.463 -1.267 2.538
1.544 2.519 3.364
Ir Ca P
3 1 1
Cartesian
-1.190 1.739 -0.756
0.772 1.259 1.682
-1.731 -0.634 1.269
-2.150 2.364 2.195
0.000 0.000 0.000
```

Output
For the distance to the lowest polymorph of the same formula, the calculation gives 0 meV per atom. The value obtained for the density of states at the Fermi level is 0.8 states/eV/cell. The value obtained for the raw total energy is -34.58 eV for the cell shown.


DFT (PBE) results for a relaxed structure of CaPIr2.

Cell and atoms, written as POSCAR:
```
CaPIr2
1.0
-0.690 2.813 0.486
-2.831 -0.740 0.255
0.941 -1.047 7.397
P Ca Ir
1 1 2
Cartesian
-1.525 0.775 2.220
-1.055 0.251 5.918
0.056 -0.063 0.444
0.414 -0.460 3.255
```

Output
The value obtained for the density of states at the Fermi level is 1.5 states/eV/cell. The value obtained for the raw total energy is -26.09 eV for the cell shown.


DFT (PBE) results for a relaxed structure of CaPIr2.

Cell and atoms, written as POSCAR:
```
CaPIr2
1.0
-0.475 4.990 0.768
-3.260 1.270 3.671
3.899 -3.219 -0.385
P Ir Ca
1 2 1
Cartesian
-1.867 3.130 2.220
0.000 0.000 0.000
-0.614 0.591 2.753
0.778 2.450 1.302
```

Output
The value obtained for the density of states at the Fermi level is 2.7 states/eV/cell. The value obtained for the raw total energy is -24.89 eV for the cell shown.


DFT (PBE) results for a relaxed structure of Ca3P3Ir.

Cell and atoms, written as POSCAR:
```
Ca3P3Ir
1.0
-3.412 -2.678 -3.755
3.983 3.841 -6.358
2.756 -7.453 2.811
Ca P Ir
6 6 2
Cartesian
4.131 -5.098 -2.309
1.890 -0.692 -7.797
1.437 -5.598 0.495
-0.805 -1.191 -4.993
1.959 -3.913 -5.564
1.367 -2.377 -1.739
-0.347 -3.725 -3.602
2.418 -6.420 -4.192
3.673 -2.564 -3.700
-0.254 -6.944 -1.392
3.580 0.654 -5.911
0.909 0.131 -3.110
0.606 -5.697 -3.062
2.721 -0.593 -4.240
```

Output
The value obtained for the density of states at the Fermi level is 8.7 states/eV/cell. The value obtained for the raw total energy is -73.33 eV for the cell shown.


Number 1: theoretical density 11987 kg/m3. Number 2: theoretical density 11646 kg/m3. Number 3: theoretical density 11809 kg/m3. Number 4: theoretical density 3814 kg/m3.